Entry from the Alexandria database: CoPd2Au after structural relaxation (GGA-PBE).

Unit cell a=2.795 b=2.795 c=9.125 alpha=81.19 beta=81.19 gamma=60.00
Site moments in Bohr magnetons follow the coordinates.
Fractional positions:
Co 0.667 0.667 0.000  2.07
Pd 0.076 0.076 0.772  0.30
Pd 0.258 0.258 0.227  0.31
Au 0.500 0.500 0.501  0.02

Calculated values
magnetization	2.65	μB per cell
SG	R3m (160)
calculated total energy	-5.147	eV per atom
energy relative to the elements	45.4	meV/atom

***

Entry from the Alexandria database: K2FeNi after structural relaxation (GGA-PBE).

Unit cell a=6.097 b=6.097 c=6.097 alpha=139.57 beta=139.57 gamma=58.51
Site moments in Bohr magnetons follow the coordinates.
Fractional positions:
Fe 0.750 0.250 0.500  3.01
K 0.000 0.000 0.000  -0.03
K 0.500 0.500 0.000  -0.03
Ni 0.250 0.750 0.500  0.48

Calculated values
magnetization	3.29	μB per cell
SG	I4/mmm (139)
energy relative to the lowest polymorph listed for this composition	576	meV/atom
calculated total energy	-2.961	eV per atom
energy relative to the elements	1148.9	meV/atom

***

Entry from the Alexandria database: Pr2CoSb after structural relaxation (GGA-PBE).

Unit cell a=3.839 b=3.839 c=9.979 alpha=78.91 beta=78.91 gamma=60.00
Fractional positions:
Pr 0.111 0.111 0.667
Pr 0.889 0.889 0.333
Sb 0.000 0.000 0.000
Co 0.500 0.500 0.500

Calculated values
magnetization	0.00	μB per cell
SG	R-3m (166)
raw formation energy	8	kJ/mol of formula units
calculated total energy	-5.175	eV per atom

***

Entry from the Alexandria database: TcB3Pb after structural relaxation (GGA-PBE).

Unit cell a=4.419 b=4.419 c=4.419 alpha=90.00 beta=90.00 gamma=90.00
Fractional positions:
Pb 0.000 0.000 0.000
B 0.000 0.500 0.000
B 0.000 0.000 0.500
B 0.500 0.000 0.000
Tc 0.500 0.500 0.500

Calculated values
magnetization	0.00	μB per cell
SG	Pm-3m (221)
energy relative to the lowest polymorph listed for this composition	2192	meV/atom
calculated total energy	-3.682	eV per atom
energy relative to the elements	3139.0	meV/atom